Compound: NaZrCd6
Source: the Alexandria database
Functional: PBE
Structure: optimized geometry

```
NaZrCd6
1.0
4.489 0.000 0.000
0.000 4.489 0.000
0.000 0.000 8.923
Na Zr Cd
1 1 6
Direct
0.000 0.000 0.000
0.000 0.000 0.500
0.500 0.500 0.000
0.500 0.500 0.500
0.500 0.000 0.257
0.500 0.000 0.743
0.000 0.500 0.257
0.000 0.500 0.743
```

Calculated values
volume: 180 Å³ per cell
space group: P4/mmm, No. 123
formation energy: -0.06 eV/atom
total moment: 0.00 μB/f.u.
electronic total energy: -15.84 eV per cell